{
  "formula": "NpUTcPt",
  "functional": "PBE-GGA",
  "state": "optimized geometry",
  "lattice": [[4.641, 0.000, 0.000], [2.320, 4.019, 0.000], [2.320, 1.340, 3.789]],
  "species": ["Np", "U", "Tc", "Pt"],
  "fractional_positions": [[0.500, 0.500, 0.500], [0.750, 0.750, 0.750], [0.000, 0.000, 0.000], [0.250, 0.250, 0.250]],
  "total_energy_ev_per_atom": -10.48
}

---

{
  "formula": "BaTcRu",
  "functional": "PBE-GGA",
  "state": "optimized geometry",
  "lattice": [[-2.128, -1.490, 3.830], [2.396, -0.522, 3.924], [-0.694, 2.900, 3.539]],
  "species": ["Ba", "Ru", "Tc"],
  "fractional_positions": [[0.000, 0.000, 0.000], [0.500, 0.500, 0.500], [0.750, 0.750, 0.750]],
  "total_energy_ev_per_atom": -5.92
}

---

{
  "formula": "CuMo2Ru2",
  "functional": "PBE-GGA",
  "state": "optimized geometry",
  "lattice": [[7.522, 0.000, 0.000], [0.000, 7.522, 0.000], [0.000, 0.000, 2.792]],
  "species": ["Ru", "Ru", "Ru", "Ru", "Mo", "Mo", "Mo", "Mo", "Cu", "Cu"],
  "fractional_positions": [[0.148, 0.648, 0.500], [0.648, 0.852, 0.500], [0.852, 0.352, 0.500], [0.352, 0.148, 0.500], [0.353, 0.853, 0.000], [0.853, 0.647, 0.000], [0.647, 0.147, 0.000], [0.147, 0.353, 0.000], [0.000, 0.000, 0.000], [0.500, 0.500, 0.000]],
  "total_energy_ev_per_atom": -8.52
}